1.
Entry from Alexandria via LeMat-Bulk: AgHg3Os after structural relaxation (PBE-GGA).

Values from the calculation:
The calculation puts the total energy at -2.069 eV/atom.

abc: 5.2384 5.2384 5.2384
angles: 90.00 90.00 90.00
Space group Pm-3m (No. 221)
Asymmetric unit:
Ag1 0.0000 0.0000 0.0000 [1 per cell]
Hg1 0.0000 0.5000 0.5000 [3 per cell]
Os1 0.5000 0.5000 0.5000 [1 per cell]

=====

2.
Entry from Alexandria via LeMat-Bulk: AgHgOs2Se after structural relaxation (PBE-GGA).

Values from the calculation:
The value obtained for the formation energy from raw total energies is 677.9 kJ/mol of formula units.

abc: 4.5752 4.5752 4.8880
angles: 90.00 90.00 90.00
Space group P4/mmm (No. 123)
Asymmetric unit:
Ag1 0.0000 0.0000 0.0000 [1 per cell]
Hg1 0.5000 0.5000 0.0000 [1 per cell]
Os1 0.0000 0.5000 0.5000 [2 per cell]
Se1 0.0000 0.0000 0.5000 [1 per cell]

=====

3.
Entry from Alexandria via LeMat-Bulk: Th2AgHgOs after structural relaxation (PBE-GGA).

Values from the calculation:
The calculation puts the total energy at -6.081 eV/atom.

abc: 8.1291 4.1150 8.1408
angles: 90.00 110.50 90.00
Space group P2_1/m (No. 11)
Asymmetric unit:
Th1 0.0089 0.2500 0.2251 [2 per cell]
Th2 0.3548 0.7500 0.6173 [2 per cell]
Ag1 0.3606 0.2500 0.9553 [2 per cell]
Hg1 0.3103 0.7500 0.1926 [2 per cell]
Os1 0.1175 0.2500 0.6138 [2 per cell]

=====

4.
Entry from Alexandria via LeMat-Bulk: Ti2AgHgOs after structural relaxation (PBE-GGA).

Values from the calculation:
The calculation puts the total energy at -4.207 eV/atom.

abc: 4.8967 4.8967 4.8498
angles: 90.00 90.00 90.00
Space group P4/mmm (No. 123)
Asymmetric unit:
Ti1 0.0000 0.5000 0.0000 [2 per cell]
Ag1 0.0000 0.0000 0.5000 [1 per cell]
Hg1 0.0000 0.0000 0.0000 [1 per cell]
Os1 0.5000 0.5000 0.5000 [1 per cell]

=====

5.
Entry from Alexandria via LeMat-Bulk: Ag2HgOsW after structural relaxation (PBE-GGA).

Values from the calculation:
The calculation puts the total energy at -4.499 eV/atom.

abc: 5.1365 5.1365 4.6259
angles: 90.00 90.00 90.00
Space group P4/mmm (No. 123)
Asymmetric unit:
Ag1 0.0000 0.5000 0.0000 [2 per cell]
Hg1 0.0000 0.0000 0.5000 [1 per cell]
Os1 0.5000 0.5000 0.0000 [1 per cell]
W1 0.5000 0.5000 0.5000 [1 per cell]

=====

6.
Entry from Alexandria via LeMat-Bulk: AgHgP after structural relaxation (PBE-GGA).

Values from the calculation:
The calculation puts the total energy at -2.739 eV/atom.

abc: 3.2322 5.6970 7.6426
angles: 80.67 89.70 73.91
Space group P-1 (No. 2)
Asymmetric unit:
Ag1 0.1826 0.1383 0.3576 [2 per cell]
Hg1 0.5000 0.5000 0.0000 [1 per cell]
Hg2 0.5000 0.5000 0.5000 [1 per cell]
P1 0.2847 0.9264 0.0910 [2 per cell]